# 1
{"formula": "PaFeGePd", "functional": "PBE", "state": "optimized geometry", "total_energy_ev_per_cell": -114.7, "crystal_system": "cubic", "e_form_ev_per_atom": -0.22, "lattice_angstrom": [[6.560, 0.000, 0.000], [0.000, 6.560, 0.000], [0.000, 0.000, 6.560]], "species": ["Pa", "Pa", "Pa", "Pa", "Fe", "Fe", "Fe", "Fe", "Ge", "Ge", "Ge", "Ge", "Pd", "Pd", "Pd", "Pd"], "fractional_positions": [[0.000, 0.000, 0.000], [0.000, 0.500, 0.500], [0.500, 0.000, 0.500], [0.500, 0.500, 0.000], [0.250, 0.250, 0.250], [0.250, 0.750, 0.750], [0.750, 0.250, 0.750], [0.750, 0.750, 0.250], [0.000, 0.000, 0.500], [0.000, 0.500, 0.000], [0.500, 0.000, 0.000], [0.500, 0.500, 0.500], [0.250, 0.250, 0.750], [0.250, 0.750, 0.250], [0.750, 0.250, 0.250], [0.750, 0.750, 0.750]]}

# 2
{"formula": "Pa2FeGe4Pt3", "functional": "PBE", "state": "optimized geometry", "total_energy_ev_per_cell": -70.6, "crystal_system": "tetragonal", "e_form_ev_per_atom": -0.65, "lattice_angstrom": [[4.150, 0.000, 0.000], [0.000, 4.150, 0.000], [0.000, 0.000, 10.556]], "species": ["Pa", "Pa", "Fe", "Ge", "Ge", "Ge", "Ge", "Pt", "Pt", "Pt"], "fractional_positions": [[0.000, 0.500, 0.230], [0.500, 0.000, 0.770], [0.500, 0.500, 0.000], [0.000, 0.000, 0.500], [0.000, 0.500, 0.874], [0.500, 0.000, 0.126], [0.500, 0.500, 0.500], [0.000, 0.000, 0.000], [0.000, 0.500, 0.644], [0.500, 0.000, 0.356]]}

# 3
{"formula": "PaFeReGe", "functional": "PBE", "state": "optimized geometry", "total_energy_ev_per_cell": -139.1, "crystal_system": "cubic", "e_form_ev_per_atom": 0.06, "lattice_angstrom": [[6.452, 0.000, 0.000], [0.000, 6.452, 0.000], [0.000, 0.000, 6.452]], "species": ["Pa", "Pa", "Pa", "Pa", "Fe", "Fe", "Fe", "Fe", "Re", "Re", "Re", "Re", "Ge", "Ge", "Ge", "Ge"], "fractional_positions": [[0.000, 0.000, 0.000], [0.000, 0.500, 0.500], [0.500, 0.000, 0.500], [0.500, 0.500, 0.000], [0.250, 0.250, 0.250], [0.250, 0.750, 0.750], [0.750, 0.250, 0.750], [0.750, 0.750, 0.250], [0.250, 0.250, 0.750], [0.250, 0.750, 0.250], [0.750, 0.250, 0.250], [0.750, 0.750, 0.750], [0.000, 0.000, 0.500], [0.000, 0.500, 0.000], [0.500, 0.000, 0.000], [0.500, 0.500, 0.500]]}

# 4
{"formula": "Pa2FeGe4Rh3", "functional": "PBE", "state": "optimized geometry", "total_energy_ev_per_cell": -74.4, "crystal_system": "tetragonal", "e_form_ev_per_atom": -0.64, "lattice_angstrom": [[4.168, 0.000, 0.000], [0.000, 4.168, 0.000], [0.000, 0.000, 9.998]], "species": ["Pa", "Pa", "Fe", "Ge", "Ge", "Ge", "Ge", "Rh", "Rh", "Rh"], "fractional_positions": [[0.000, 0.500, 0.238], [0.500, 0.000, 0.762], [0.500, 0.500, 0.000], [0.000, 0.000, 0.500], [0.000, 0.500, 0.872], [0.500, 0.000, 0.128], [0.500, 0.500, 0.500], [0.000, 0.000, 0.000], [0.000, 0.500, 0.632], [0.500, 0.000, 0.368]]}

# 5
{"formula": "PaFeGe2Ru", "functional": "PBE", "state": "optimized geometry", "total_energy_ev_per_cell": -77.5, "crystal_system": "tetragonal", "e_form_ev_per_atom": -0.45, "lattice_angstrom": [[4.158, 0.000, 0.000], [0.000, 4.158, 0.000], [0.000, 0.000, 9.770]], "species": ["Pa", "Pa", "Fe", "Fe", "Ge", "Ge", "Ge", "Ge", "Ru", "Ru"], "fractional_positions": [[0.000, 0.000, 0.000], [0.500, 0.500, 0.500], [0.000, 0.500, 0.250], [0.500, 0.000, 0.750], [0.000, 0.000, 0.372], [0.000, 0.000, 0.628], [0.500, 0.500, 0.128], [0.500, 0.500, 0.872], [0.000, 0.500, 0.750], [0.500, 0.000, 0.250]]}

# 6
{"formula": "Pa2Fe5Si2Ge", "functional": "PBE", "state": "optimized geometry", "total_energy_ev_per_cell": -159.3, "crystal_system": "tetragonal", "formation_energy_uncorrected_mev_per_atom": -288, "lattice_angstrom": [[9.405, 0.000, 0.000], [0.000, 9.405, 0.000], [0.000, 0.000, 3.283]], "species": ["Pa", "Pa", "Pa", "Pa", "Fe", "Fe", "Fe", "Fe", "Fe", "Fe", "Fe", "Fe", "Fe", "Fe", "Si", "Si", "Si", "Si", "Ge", "Ge"], "fractional_positions": [[0.179, 0.321, 0.000], [0.321, 0.821, 0.000], [0.679, 0.179, 0.000], [0.821, 0.679, 0.000], [0.000, 0.500, 0.500], [0.070, 0.786, 0.500], [0.214, 0.070, 0.500], [0.286, 0.570, 0.500], [0.430, 0.286, 0.500], [0.500, 0.000, 0.500], [0.570, 0.714, 0.500], [0.714, 0.430, 0.500], [0.786, 0.930, 0.500], [0.930, 0.214, 0.500], [0.118, 0.618, 0.000], [0.382, 0.118, 0.000], [0.618, 0.882, 0.000], [0.882, 0.382, 0.000], [0.000, 0.000, 0.000], [0.500, 0.500, 0.000]]}